1.
DFT (PBEsol) results for LiCoPO4 after structural relaxation.

a = 4.748 Å, b = 4.957 Å, c = 4.748 Å
α = 61.38°, β = 90.00°, γ = 118.62°
Fractional positions:
P1 0.250 0.500 0.250
Co1 0.000 0.000 0.000
O1 0.176 0.740 0.942
O2 0.942 0.260 0.564
O3 0.564 0.740 0.318
O4 0.318 0.260 0.176
Li1 0.500 0.000 0.500

The value obtained for the formation energy without anion corrections is -1.8437 eV/atom. The space group is I-4, No. 82. For the excess energy over the best structure of this formula in the dataset, the calculation gives 0.06 eV per formula unit. For the total magnetization, the calculation gives 3.00 μB/f.u. The calculation puts the total energy at -7.0569 eV/atom.


2.
DFT (PBEsol) results for Tc2OsCl after structural relaxation.

a = 2.755 Å, b = 2.755 Å, c = 9.130 Å
α = 90.00°, β = 90.00°, γ = 119.89°
Fractional positions:
Os1 0.500 0.500 0.230
Tc1 0.000 0.000 0.996
Tc2 0.500 0.500 0.746
Cl1 0.000 0.000 0.528

The value obtained for the formation energy without anion corrections is 0.6683 eV/atom. The space group is Cmm2, No. 35. For the excess energy over the best structure of this formula in the dataset, the calculation gives 0.45 eV per formula unit. For the total magnetization, the calculation gives 0.00 μB/f.u. The calculation puts the total energy at -8.5208 eV/atom.


3.
DFT (PBEsol) results for IrRuWO2 after structural relaxation.

a = 3.637 Å, b = 3.637 Å, c = 5.686 Å
α = 90.00°, β = 90.00°, γ = 90.00°
Fractional positions:
Ru1 0.500 0.500 0.500
Ir1 0.000 0.000 0.000
O1 0.000 0.500 0.000
O2 0.500 0.000 0.000
W1 0.000 0.000 0.500

The value obtained for the formation energy without anion corrections is 0.7024 eV/atom. The space group is P4/mmm, No. 123. For the total magnetization, the calculation gives 0.46 μB/f.u. The calculation puts the total energy at -8.1580 eV/atom.


4.
DFT (PBEsol) results for Li4Ti5Cr3O16 after structural relaxation.

a = 5.780 Å, b = 5.780 Å, c = 9.445 Å
α = 90.42°, β = 90.42°, γ = 60.58°
Fractional positions:
Li1 0.334 0.334 0.894
Li2 0.004 0.004 0.993
Li3 0.001 0.001 0.497
Li4 0.665 0.665 0.399
Ti1 0.825 0.825 0.722
Ti2 0.166 0.657 0.217
Ti3 0.332 0.332 0.496
Ti4 0.657 0.166 0.217
Ti5 0.659 0.659 0.991
Cr1 0.172 0.172 0.213
Cr2 0.341 0.831 0.713
Cr3 0.831 0.341 0.713
O1 0.167 0.665 0.597
O2 0.481 0.481 0.340
O3 0.335 0.335 0.101
O4 0.002 0.002 0.310
O5 0.002 0.002 0.807
O6 0.665 0.167 0.597
O7 0.037 0.480 0.341
O8 0.480 0.037 0.341
O9 0.834 0.834 0.095
O10 0.168 0.168 0.598
O11 0.520 0.964 0.842
O12 0.964 0.520 0.842
O13 0.668 0.668 0.602
O14 0.334 0.834 0.097
O15 0.521 0.521 0.837
O16 0.834 0.334 0.097

The value obtained for the formation energy without anion corrections is -2.5779 eV/atom. The space group is Cm, No. 8. For the total magnetization, the calculation gives 7.90 μB/f.u. The calculation puts the total energy at -8.4419 eV/atom.


5.
DFT (PBEsol) results for ZrBr2 after structural relaxation.

a = 8.346 Å, b = 8.346 Å, c = 8.346 Å
α = 107.13°, β = 107.13°, γ = 107.13°
Fractional positions:
Br1 0.316 0.921 0.770
Br2 0.770 0.316 0.921
Br3 0.921 0.770 0.316
Br4 0.684 0.079 0.230
Br5 0.230 0.684 0.079
Br6 0.079 0.230 0.684
Br7 0.455 0.377 0.148
Br8 0.148 0.455 0.377
Br9 0.377 0.148 0.455
Br10 0.545 0.623 0.852
Br11 0.852 0.545 0.623
Br12 0.623 0.852 0.545
Zr1 0.293 0.031 0.098
Zr2 0.098 0.293 0.031
Zr3 0.031 0.098 0.293
Zr4 0.707 0.969 0.902
Zr5 0.902 0.707 0.969
Zr6 0.969 0.902 0.707

The value obtained for the formation energy without anion corrections is -1.2464 eV/atom. The space group is R-3, No. 148. For the total magnetization, the calculation gives 0.35 μB/f.u. The calculation puts the total energy at -5.5230 eV/atom.


6.
DFT (PBEsol) results for Ho2NiSb4 after structural relaxation.

a = 4.267 Å, b = 4.267 Å, c = 9.103 Å
α = 90.00°, β = 90.00°, γ = 90.00°
Fractional positions:
Sb1 0.500 0.500 0.500
Sb2 0.000 0.000 0.500
Sb3 0.500 0.000 0.866
Sb4 0.000 0.500 0.134
Ho1 0.500 0.000 0.233
Ho2 0.000 0.500 0.767
Ni1 0.500 0.500 0.000

The value obtained for the formation energy without anion corrections is -0.7699 eV/atom. The space group is P-4m2, No. 115. For the total magnetization, the calculation gives 0.00 μB/f.u. The calculation puts the total energy at -5.6681 eV/atom.